[1]
Entry from Alexandria via LeMat-Bulk: a relaxed structure of Be2ZnAs (GGA-PBEsol).

calculated density	5161	kg/m3
calculated volume	51.0	Å³/cell
DOS at the Fermi energy	1.07	states/eV/cell
formation enthalpy at 0 K	0.3610	eV per atom
DFT total energy	-3.311	eV/atom

a = 7.4207 Å, b = 7.4207 Å, c = 7.4207 Å
α = 22.15°, β = 22.15°, γ = 22.15°
Atoms (fractional coordinates):
Be 0.2502 0.2502 0.2502
Be 0.7498 0.7498 0.7498
Zn 0.0000 0.0000 0.0000
As 0.5000 0.5000 0.5000

---

[2]
Entry from Alexandria via LeMat-Bulk: a relaxed structure of Be2ZnAs (GGA-PBEsol).

calculated density	5190	kg/m3
calculated volume	50.7	Å³/cell
DOS at the Fermi energy	1.30	states/eV/cell
formation enthalpy at 0 K	0.4049	eV per atom
DFT total energy	-3.267	eV/atom

a = 4.4674 Å, b = 4.4674 Å, c = 4.4674 Å
α = 133.29°, β = 126.90°, γ = 73.37°
Atoms (fractional coordinates):
Be 0.2460 0.2460 0.0000
Be 0.7540 0.7540 0.0000
Zn 0.5000 0.0000 0.5000
As 0.0000 0.5000 0.5000

---

[3]
Entry from Alexandria via LeMat-Bulk: a relaxed structure of BeZnAs (GGA-PBEsol).

calculated density	5823	kg/m3
calculated volume	42.6	Å³/cell
DOS at the Fermi energy	0.92	states/eV/cell
formation enthalpy at 0 K	0.3307	eV per atom
DFT total energy	-3.232	eV/atom

a = 5.8448 Å, b = 5.8448 Å, c = 5.8448 Å
α = 152.47°, β = 152.47°, γ = 39.33°
Atoms (fractional coordinates):
Be 0.0000 0.0000 0.0000
Zn 0.6351 0.6351 0.0000
As 0.3496 0.3496 0.0000

---

[4]
Entry from Alexandria via LeMat-Bulk: a relaxed structure of BiAsBr2 (GGA-PBEsol).

calculated density	7078	kg/m3
calculated volume	104.1	Å³/cell
DOS at the Fermi energy	1.49	states/eV/cell
DFT total energy	-3.278	eV/atom

a = 10.3181 Å, b = 10.3181 Å, c = 10.3181 Å
α = 19.22°, β = 19.22°, γ = 19.22°
Atoms (fractional coordinates):
Bi 0.0000 0.0000 0.0000
As 0.5000 0.5000 0.5000
Br 0.4153 0.4153 0.4153
Br 0.5847 0.5847 0.5847

---

[5]
Entry from Alexandria via LeMat-Bulk: a relaxed structure of BiAsBr2Cl (GGA-PBEsol).

calculated density	6005	kg/m3
calculated volume	132.5	Å³/cell
DOS at the Fermi energy	3.09	states/eV/cell
DFT total energy	-2.479	eV/atom

a = 5.0736 Å, b = 5.0736 Å, c = 5.1474 Å
α = 90.00°, β = 90.00°, γ = 90.00°
Atoms (fractional coordinates):
Bi 0.0000 0.0000 0.0000
As 0.5000 0.5000 0.0000
Br 0.0000 0.5000 0.5000
Br 0.5000 0.0000 0.5000
Cl 0.5000 0.5000 0.5000

---

[6]
Entry from Alexandria via LeMat-Bulk: a relaxed structure of BiAs2BrCl (GGA-PBEsol).

calculated density	6335	kg/m3
calculated volume	124.3	Å³/cell
DOS at the Fermi energy	4.34	states/eV/cell
DFT total energy	-2.967	eV/atom

a = 4.9701 Å, b = 4.9701 Å, c = 5.0314 Å
α = 90.00°, β = 90.00°, γ = 90.00°
Atoms (fractional coordinates):
Bi 0.0000 0.0000 0.0000
As 0.0000 0.5000 0.5000
As 0.5000 0.0000 0.5000
Br 0.5000 0.5000 0.0000
Cl 0.5000 0.5000 0.5000

---

[7]
Entry from Alexandria via LeMat-Bulk: a relaxed structure of CoBiAs2Br (GGA-PBEsol).

calculated density	7981	kg/m3
calculated volume	103.5	Å³/cell
DOS at the Fermi energy	5.80	states/eV/cell
DFT total energy	-4.559	eV/atom

a = 4.5654 Å, b = 4.5654 Å, c = 4.9676 Å
α = 90.00°, β = 90.00°, γ = 90.00°
Atoms (fractional coordinates):
Co 0.0000 0.0000 0.0000
Bi 0.5000 0.5000 0.5000
As 0.0000 0.5000 0.0000
As 0.5000 0.0000 0.0000
Br 0.0000 0.0000 0.5000

---

[8]
Entry from Alexandria via LeMat-Bulk: a relaxed structure of CsBiAsBr2 (GGA-PBEsol).

calculated density	4039	kg/m3
calculated volume	237.1	Å³/cell
DOS at the Fermi energy	5.39	states/eV/cell
DFT total energy	-2.159	eV/atom

a = 6.2877 Å, b = 6.2877 Å, c = 5.9964 Å
α = 90.00°, β = 90.00°, γ = 90.00°
Atoms (fractional coordinates):
Cs 0.0000 0.0000 0.0000
Bi 0.5000 0.5000 0.5000
As 0.0000 0.0000 0.5000
Br 0.0000 0.5000 0.0000
Br 0.5000 0.0000 0.0000

---

[9]
Entry from Alexandria via LeMat-Bulk: a relaxed structure of BiAs2BrO (GGA-PBEsol).

calculated density	4385	kg/m3
calculated volume	172.2	Å³/cell
DOS at the Fermi energy	6.72	states/eV/cell
DFT total energy	-3.019	eV/atom

a = 5.5162 Å, b = 5.5162 Å, c = 5.6592 Å
α = 90.00°, β = 90.00°, γ = 90.00°
Atoms (fractional coordinates):
Bi 0.0000 0.0000 0.0000
As 0.0000 0.5000 0.0000
As 0.5000 0.0000 0.0000
Br 0.0000 0.0000 0.5000
O 0.5000 0.5000 0.5000

---

[10]
Entry from Alexandria via LeMat-Bulk: a relaxed structure of BiAs2OsBr (GGA-PBEsol).

calculated density	8903	kg/m3
calculated volume	117.3	Å³/cell
DOS at the Fermi energy	4.88	states/eV/cell
DFT total energy	-5.184	eV/atom

a = 4.7078 Å, b = 4.7078 Å, c = 5.2928 Å
α = 90.00°, β = 90.00°, γ = 90.00°
Atoms (fractional coordinates):
Bi 0.0000 0.0000 0.0000
As 0.0000 0.5000 0.5000
As 0.5000 0.0000 0.5000
Os 0.5000 0.5000 0.5000
Br 0.5000 0.5000 0.0000

---

[11]
Entry from Alexandria via LeMat-Bulk: a relaxed structure of BiAs2SBr (GGA-PBEsol).

calculated density	4802	kg/m3
calculated volume	162.8	Å³/cell
DOS at the Fermi energy	4.74	states/eV/cell
DFT total energy	-3.015	eV/atom

a = 5.5079 Å, b = 5.5079 Å, c = 5.3667 Å
α = 90.00°, β = 90.00°, γ = 90.00°
Atoms (fractional coordinates):
Bi 0.0000 0.0000 0.0000
As 0.0000 0.5000 0.0000
As 0.5000 0.0000 0.0000
S 0.5000 0.5000 0.5000
Br 0.0000 0.0000 0.5000

---

[12]
Entry from Alexandria via LeMat-Bulk: a relaxed structure of BiAsSe2Br (GGA-PBEsol).

calculated density	6756	kg/m3
calculated volume	128.2	Å³/cell
DOS at the Fermi energy	3.23	states/eV/cell
DFT total energy	-3.627	eV/atom

a = 5.0536 Å, b = 5.0536 Å, c = 5.0211 Å
α = 90.00°, β = 90.00°, γ = 90.00°
Atoms (fractional coordinates):
Bi 0.0000 0.0000 0.0000
As 0.5000 0.5000 0.5000
Se 0.0000 0.5000 0.5000
Se 0.5000 0.0000 0.5000
Br 0.5000 0.5000 0.0000

---

Q: Which formula does entry 10 have?
A: BiAs2OsBr

---

Q: DFT total energy of number 11 (BiAs2SBr)?
A: -3.015 eV/atom